1.
# InBiO2, relaxed, DFT GGA-PBE
# ΔE to the lowest computed polymorph	23.2	kJ per mole of atoms
# total energy	-0.188	hartree per atom
# formation energy from raw total energies	-973	meV/atom
# total moment	0.0	Bohr magnetons per cell
data_InBiO2
_chemical_formula_sum 'In4 Bi4 O8'
_space_group_name_H-M_alt 'P n m a'
_space_group_IT_number 62
_space_group_name_Hall '-P 2ac 2n'
_cell_length_a 6.507
_cell_length_b 3.864
_cell_length_c 11.134
_cell_angle_alpha 90.00
_cell_angle_beta 90.00
_cell_angle_gamma 90.00
loop_
_atom_site_label
_atom_site_type_symbol
_atom_site_fract_x
_atom_site_fract_y
_atom_site_fract_z
In1 In 0.001 0.250 0.131
Bi1 Bi 0.030 0.750 0.389
O1 O 0.107 0.250 0.935
O2 O 0.200 0.750 0.707



2.
# InBiO3, relaxed, DFT GGA-PBE
# total energy	-0.209	hartree per atom
# formation energy from raw total energies	-1375	meV/atom
# total moment	0.0	Bohr magnetons per cell
data_InBiO3
_chemical_formula_sum 'In4 Bi4 O12'
_space_group_name_H-M_alt 'P n a 21'
_space_group_IT_number 33
_space_group_name_Hall 'P 2c -2n'
_cell_length_a 6.026
_cell_length_b 5.717
_cell_length_c 8.471
_cell_angle_alpha 90.00
_cell_angle_beta 90.00
_cell_angle_gamma 90.00
loop_
_atom_site_label
_atom_site_type_symbol
_atom_site_fract_x
_atom_site_fract_y
_atom_site_fract_z
In1 In 0.001 0.001 0.000
Bi1 Bi 0.060 0.498 0.722
O1 O 0.053 0.886 0.259
O2 O 0.160 0.340 0.489
O3 O 0.211 0.299 0.082



3.
# InBiO2, relaxed, DFT GGA-PBE
# ΔE to the lowest computed polymorph	26.3	kJ per mole of atoms
# total energy	-0.186	hartree per atom
# formation energy from raw total energies	-941	meV/atom
# total moment	0.0	Bohr magnetons per cell
data_InBiO2
_chemical_formula_sum 'In16 Bi16 O32'
_space_group_name_H-M_alt 'C 1 2/c 1'
_space_group_IT_number 15
_space_group_name_Hall '-C 2yc'
_cell_length_a 7.416
_cell_length_b 13.210
_cell_length_c 12.635
_cell_angle_alpha 90.00
_cell_angle_beta 97.06
_cell_angle_gamma 90.00
loop_
_atom_site_label
_atom_site_type_symbol
_atom_site_fract_x
_atom_site_fract_y
_atom_site_fract_z
In1 In 0.037 0.169 0.118
In2 In 0.136 0.458 0.399
Bi1 Bi 0.110 0.302 0.645
Bi2 Bi 0.176 0.081 0.848
O1 O 0.000 0.055 0.250
O2 O 0.000 0.441 0.750
O3 O 0.111 0.129 0.647
O4 O 0.192 0.077 0.025
O5 O 0.195 0.258 0.817



4.
# InBiO2, relaxed, DFT GGA-PBE
# ΔE to the lowest computed polymorph	40.6	kJ per mole of atoms
# total energy	-0.181	hartree per atom
# formation energy from raw total energies	-792	meV/atom
# total moment	0.0	Bohr magnetons per cell
data_InBiO2
_chemical_formula_sum 'In4 Bi4 O8'
_space_group_name_H-M_alt 'I 41/a m d'
_space_group_IT_number 141
_cell_length_a 4.947
_cell_length_b 4.947
_cell_length_c 11.620
_cell_angle_alpha 90.00
_cell_angle_beta 90.00
_cell_angle_gamma 90.00
loop_
_space_group_symop_operation_xyz
'x,y,z'
'-x,-y,-z'
'-y+1/4,x+3/4,z+1/4'
'y+1/4,-x+3/4,-z+1/4'
'-x+1/2,-y,z+1/2'
'x+1/2,y,-z+1/2'
'y+1/4,-x+1/4,z+3/4'
'-y+1/4,x+1/4,-z+3/4'
'x,-y,-z'
'-x,y,z'
'-y+1/4,-x+1/4,-z+3/4'
'y+1/4,x+1/4,z+3/4'
'-x+1/2,y,-z+1/2'
'x+1/2,-y,z+1/2'
'y+1/4,x+3/4,-z+1/4'
'-y+1/4,-x+3/4,z+1/4'
'x+1/2,y+1/2,z+1/2'
'-x+1/2,-y+1/2,-z+1/2'
'-y+3/4,x+1/4,z+3/4'
'y+3/4,-x+1/4,-z+3/4'
'-x,-y+1/2,z'
'x,y+1/2,-z'
'y+3/4,-x+3/4,z+1/4'
'-y+3/4,x+3/4,-z+1/4'
'x+1/2,-y+1/2,-z+1/2'
'-x+1/2,y+1/2,z+1/2'
'-y+3/4,-x+3/4,-z+1/4'
'y+3/4,x+3/4,z+1/4'
'-x,y+1/2,-z'
'x,-y+1/2,z'
'y+3/4,x+1/4,-z+3/4'
'-y+3/4,-x+1/4,z+3/4'
loop_
_atom_site_label
_atom_site_type_symbol
_atom_site_fract_x
_atom_site_fract_y
_atom_site_fract_z
In1 In 0.000 0.250 0.375
Bi1 Bi 0.000 0.250 0.875
O1 O 0.000 0.250 0.086



5.
# InBiO2, relaxed, DFT GGA-PBE
# ΔE to the lowest computed polymorph	55.8	kJ per mole of atoms
# total energy	-0.175	hartree per atom
# formation energy from raw total energies	-636	meV/atom
# total moment	0.0	Bohr magnetons per cell
data_InBiO2
_chemical_formula_sum 'In4 Bi4 O8'
_space_group_name_H-M_alt 'I 4/m c m'
_space_group_IT_number 140
_space_group_name_Hall '-I 4 2c'
_cell_length_a 6.856
_cell_length_b 6.856
_cell_length_c 6.095
_cell_angle_alpha 90.00
_cell_angle_beta 90.00
_cell_angle_gamma 90.00
loop_
_atom_site_label
_atom_site_type_symbol
_atom_site_fract_x
_atom_site_fract_y
_atom_site_fract_z
In1 In 0.000 0.500 0.250
Bi1 Bi 0.000 0.000 0.250
O1 O 0.158 0.342 0.000



6.
# InBiO2, relaxed, DFT GGA-PBE
# ΔE to the lowest computed polymorph	18.5	kJ per mole of atoms
# total energy	-0.189	hartree per atom
# formation energy from raw total energies	-1022	meV/atom
# total moment	0.0	Bohr magnetons per cell
data_InBiO2
_chemical_formula_sum 'In2 Bi2 O4'
_space_group_name_H-M_alt 'C 1 2/m 1'
_space_group_IT_number 12
_space_group_name_Hall '-C 2y'
_cell_length_a 5.905
_cell_length_b 3.255
_cell_length_c 7.179
_cell_angle_alpha 90.00
_cell_angle_beta 109.07
_cell_angle_gamma 90.00
loop_
_atom_site_label
_atom_site_type_symbol
_atom_site_fract_x
_atom_site_fract_y
_atom_site_fract_z
In1 In 0.000 0.000 0.000
Bi1 Bi 0.000 0.000 0.500
O1 O 0.108 0.500 0.829